1.
A geometry-optimized Rb2TbZn3F12 structure, computed with PBE.

## Properties
Its density of states at the Fermi level is 6.3 states/eV/cell. The value obtained for the energy is -4.54 eV/atom. The space-group type is R-3m. The calculation puts the formation energy from raw total energies at -2.719 eV/atom.

a = 7.659 Å, b = 7.659 Å, c = 7.659 Å
α = 58.43°, β = 58.43°, γ = 58.43°
Fractional coordinates of all 18 atoms:
Rb1 0.617 0.617 0.617
Rb2 0.383 0.383 0.383
Tb1 0.000 0.000 0.000
Zn1 0.500 0.000 0.000
Zn2 0.000 0.500 0.000
Zn3 0.000 0.000 0.500
F1 0.306 0.306 0.915
F2 0.910 0.910 0.354
F3 0.354 0.910 0.910
F4 0.915 0.306 0.306
F5 0.910 0.354 0.910
F6 0.306 0.915 0.306
F7 0.694 0.694 0.085
F8 0.090 0.090 0.646
F9 0.646 0.090 0.090
F10 0.085 0.694 0.694
F11 0.090 0.646 0.090
F12 0.694 0.085 0.694


2.
A geometry-optimized RbTcF2 structure, computed with PBE.

## Properties
Its density of states at the Fermi level is 4.1 states/eV/cell. As for the polymorph energy (0 for the lowest one): 0.625 eV/atom. The value obtained for the energy is -4.45 eV/atom. The space-group type is Fm-3m. The calculation puts the formation energy from raw total energies at -0.680 eV/atom.

a = 4.636 Å, b = 4.636 Å, c = 4.636 Å
α = 60.00°, β = 60.00°, γ = 60.00°
Last column: magnetic moment on the atom in μB.
Fractional coordinates of all 4 atoms:
Tc1 0.500 0.500 0.500  3.51
Rb1 0.000 0.000 0.000  0.02
F1 0.250 0.250 0.250  0.06
F2 0.750 0.750 0.750  0.06


3.
A geometry-optimized RbTcF2 structure, computed with PBE.

## Properties
Its density of states at the Fermi level is 1.5 states/eV/cell. As for the polymorph energy (0 for the lowest one): 0.000 eV/atom. The value obtained for the energy is -5.07 eV/atom. The space-group type is R-3m. The calculation puts the formation energy from raw total energies at -1.306 eV/atom.

a = 7.874 Å, b = 7.874 Å, c = 7.874 Å
α = 25.24°, β = 25.24°, γ = 25.24°
Last column: magnetic moment on the atom in μB.
Fractional coordinates of all 4 atoms:
Tc1 0.000 0.000 0.000  2.60
Rb1 0.500 0.500 0.500  0.00
F1 0.912 0.912 0.912  0.06
F2 0.088 0.088 0.088  0.06


4.
A geometry-optimized RbTcF6 structure, computed with PBE.

## Properties
Its density of states at the Fermi level is 9.6 states/eV/cell. As for the polymorph energy (0 for the lowest one): 0.023 eV/atom. The value obtained for the energy is -5.16 eV/atom. The space-group type is R-3m. The calculation puts the formation energy from raw total energies at -2.335 eV/atom.

a = 5.634 Å, b = 5.634 Å, c = 6.169 Å
α = 62.83°, β = 62.83°, γ = 60.00°
Last column: magnetic moment on the atom in μB.
Fractional coordinates of all 8 atoms:
Rb1 0.500 0.500 0.500  0.00
Tc1 0.000 0.000 0.000  1.58
F1 0.913 0.913 0.787  0.05
F2 0.387 0.913 0.787  0.05
F3 0.087 0.613 0.213  0.05
F4 0.613 0.087 0.213  0.05
F5 0.087 0.087 0.213  0.05
F6 0.913 0.387 0.787  0.05